Computed, not measured: an optimized crystal structure of Pm6Co2I3N at the GGA-PBE level of DFT.

Cell lengths 6.8763, 6.8763, 8.2656 Å; angles 97.91, 97.91, 119.94 degrees
Sites, in units of the cell vectors:
Pm  0.0579  0.3757  0.1740
Pm  0.6243  0.9421  0.8260
Pm  0.7397  0.7397  0.1750
Co  0.6667  0.3333  0.0000
N  0.0000  0.0000  0.0000
Co  0.3333  0.6667  0.0000
I  0.8318  0.1682  0.5000
Pm  0.2603  0.2603  0.8250
I  0.5000  0.5000  0.5000
Pm  0.9421  0.6243  0.8260
Pm  0.3757  0.0579  0.1740
I  0.1682  0.8318  0.5000

Results
space-group type	C2/m, No. 12
formation energy without anion corrections	-0.782	eV per atom
energy	-5.423	eV/atom


Computed, not measured: an optimized crystal structure of Pr6Co2I3N at the GGA-PBE level of DFT.

Cell lengths 6.9678, 6.9678, 8.4001 Å; angles 97.89, 97.89, 119.97 degrees
Sites, in units of the cell vectors:
Pr  0.7406  0.7406  0.1767
Pr  0.6235  0.9413  0.8245
N  0.0000  0.0000  0.0000
Pr  0.3765  0.0587  0.1755
Pr  0.9413  0.6235  0.8245
Pr  0.2594  0.2594  0.8233
Co  0.6666  0.3334  0.0000
I  0.1690  0.8310  0.5000
Co  0.3334  0.6666  0.0000
I  0.8310  0.1690  0.5000
I  0.5000  0.5000  0.5000
Pr  0.0587  0.3765  0.1755

Results
space-group type	C2/m, No. 12
DOS(E_F)	0.3	states/eV/f.u.
formation energy without anion corrections	-0.762	eV per atom
energy	-5.418	eV/atom


Computed, not measured: an optimized crystal structure of CoPtI2N at the GGA-PBE level of DFT.

Cell lengths 5.3389, 5.3389, 3.4132 Å; angles 90.00, 90.00, 90.00 degrees
Sites, in units of the cell vectors:
N  0.0000  0.0000  0.5000
Co  0.0000  0.0000  0.0000
Pt  0.5000  0.5000  0.5000
I  0.0000  0.5000  0.0000
I  0.5000  0.0000  0.0000

Results
space-group type	P4/mmm, No. 123
DOS(E_F)	5.3	states/eV/f.u.
formation energy without anion corrections	0.727	eV per atom
energy	-4.187	eV/atom


Computed, not measured: an optimized crystal structure of CoPtI2N at the GGA-PBE level of DFT.

Cell lengths 5.6989, 5.6989, 3.7134 Å; angles 90.00, 90.00, 90.00 degrees
Sites, in units of the cell vectors:
N  0.0000  0.0000  0.5000
Pt  0.0000  0.0000  0.0000
Co  0.5000  0.5000  0.5000
I  0.5000  0.0000  0.0000
I  0.0000  0.5000  0.0000

Results
space-group type	P4/mmm, No. 123
DOS(E_F)	6.0	states/eV/f.u.
formation energy without anion corrections	0.941	eV per atom
energy	-3.974	eV/atom


Computed, not measured: an optimized crystal structure of Rb2CoI6N at the GGA-PBE level of DFT.

Cell lengths 7.4815, 7.4815, 8.1968 Å; angles 62.85, 62.85, 90.00 degrees
Sites, in units of the cell vectors:
I  0.2068  0.2068  0.5864
I  0.2609  0.7391  0.0000
I  0.2609  0.2609  0.0000
Rb  0.7500  0.2500  0.5000
Rb  0.2500  0.7500  0.5000
I  0.7391  0.7391  0.0000
I  0.7932  0.7932  0.4136
I  0.7391  0.2609  0.0000
N  0.5000  0.5000  0.0000
Co  0.0000  0.0000  0.0000

Results
space-group type	I4/mmm, No. 139
DOS(E_F)	4.7	states/eV/f.u.
formation energy without anion corrections	-0.124	eV per atom
energy	-2.791	eV/atom


Computed, not measured: an optimized crystal structure of CoReI2N at the GGA-PBE level of DFT.

Cell lengths 5.5327, 5.5327, 3.7525 Å; angles 90.00, 90.00, 90.00 degrees
Sites, in units of the cell vectors:
N  0.0000  0.0000  0.5000
Co  0.5000  0.5000  0.5000
I  0.0000  0.5000  0.0000
Re  0.0000  0.0000  0.0000
I  0.5000  0.0000  0.0000

Results
space-group type	P4/mmm, No. 123
DOS(E_F)	5.6	states/eV/f.u.
formation energy without anion corrections	0.918	eV per atom
energy	-5.278	eV/atom


Computed, not measured: an optimized crystal structure of CoReI2N at the GGA-PBE level of DFT.

Cell lengths 5.2284, 5.2284, 3.3716 Å; angles 90.00, 90.00, 90.00 degrees
Sites, in units of the cell vectors:
I  0.5000  0.0000  0.0000
Re  0.5000  0.5000  0.5000
I  0.0000  0.5000  0.0000
N  0.0000  0.0000  0.5000
Co  0.0000  0.0000  0.0000

Results
space-group type	P4/mmm, No. 123
DOS(E_F)	5.8	states/eV/f.u.
formation energy without anion corrections	1.300	eV per atom
energy	-4.896	eV/atom


Computed, not measured: an optimized crystal structure of CoRhIN2 at the GGA-PBE level of DFT.

Cell lengths 3.5990, 3.5990, 7.5552 Å; angles 90.00, 90.00, 90.00 degrees
Sites, in units of the cell vectors:
Rh  0.5000  0.5000  0.5000
I  0.0000  0.0000  0.5000
N  0.5000  0.0000  0.0000
Co  0.0000  0.0000  0.0000
N  0.0000  0.5000  0.0000

Results
space-group type	P4/mmm, No. 123
DOS(E_F)	4.6	states/eV/f.u.
formation energy without anion corrections	1.262	eV per atom
energy	-5.269	eV/atom


Computed, not measured: an optimized crystal structure of Co2RhIN at the GGA-PBE level of DFT.

Cell lengths 4.6290, 4.9122, 4.6290 Å; angles 90.00, 90.00, 90.00 degrees
Sites, in units of the cell vectors:
I  0.0000  0.0000  0.0000
Co  0.5000  0.0000  0.0000
Co  0.0000  0.0000  0.5000
Rh  0.0000  0.5000  0.0000
N  0.5000  0.5000  0.5000

Results
space-group type	P4/mmm, No. 123
DOS(E_F)	9.6	states/eV/f.u.
formation energy without anion corrections	2.431	eV per atom
energy	-3.857	eV/atom


Computed, not measured: an optimized crystal structure of CoRhIN2 at the GGA-PBE level of DFT.

Cell lengths 3.7600, 3.7600, 8.0836 Å; angles 90.00, 90.00, 90.00 degrees
Sites, in units of the cell vectors:
Co  0.5000  0.5000  0.5000
N  0.5000  0.0000  0.0000
N  0.0000  0.5000  0.0000
Rh  0.0000  0.0000  0.0000
I  0.0000  0.0000  0.5000

Results
space-group type	P4/mmm, No. 123
DOS(E_F)	4.2	states/eV/f.u.
formation energy without anion corrections	1.277	eV per atom
energy	-5.255	eV/atom


Computed, not measured: an optimized crystal structure of CoRuI2N at the GGA-PBE level of DFT.

Cell lengths 5.5130, 5.5130, 3.6920 Å; angles 90.00, 90.00, 90.00 degrees
Sites, in units of the cell vectors:
I  0.0000  0.5000  0.0000
Co  0.5000  0.5000  0.5000
I  0.5000  0.0000  0.0000
Ru  0.0000  0.0000  0.0000
N  0.0000  0.0000  0.5000

Results
space-group type	P4/mmm, No. 123
DOS(E_F)	5.6	states/eV/f.u.
formation energy without anion corrections	0.814	eV per atom
energy	-4.747	eV/atom


Computed, not measured: an optimized crystal structure of CoRuI2N at the GGA-PBE level of DFT.

Cell lengths 5.2379, 5.2379, 3.3915 Å; angles 90.00, 90.00, 90.00 degrees
Sites, in units of the cell vectors:
I  0.5000  0.0000  0.0000
N  0.0000  0.0000  0.5000
Co  0.0000  0.0000  0.0000
Ru  0.5000  0.5000  0.5000
I  0.0000  0.5000  0.0000

Results
space-group type	P4/mmm, No. 123
DOS(E_F)	4.9	states/eV/f.u.
formation energy without anion corrections	0.937	eV per atom
energy	-4.624	eV/atom